Crystalline ZnSbMoI2 at its relaxed geometry. Source: Alexandria via LeMat-Bulk, functional PBE-GGA.

```
ZnSbMoI2
1.0
5.533 0.000 0.000
0.000 5.533 0.000
0.000 0.000 5.312
I Mo Zn Sb
2 1 1 1
direct
0.500 0.000 0.000
0.000 0.500 0.000
0.500 0.500 0.500
0.000 0.000 0.000
0.000 0.000 0.500
```

Results
The energy relative to the lowest polymorph listed for this composition is 499 meV/atom.

---

Crystalline ZnSbMoI2 at its relaxed geometry. Source: Alexandria via LeMat-Bulk, functional PBE-GGA.

```
ZnSbMoI2
1.0
5.652 0.000 0.000
0.000 5.652 0.000
0.000 0.000 5.283
I Sb Mo Zn
2 1 1 1
direct
0.500 0.000 0.000
0.000 0.500 0.000
0.000 0.000 0.500
0.000 0.000 0.000
0.500 0.500 0.500
```

Results
The energy relative to the lowest polymorph listed for this composition is 0 meV/atom.

---

Crystalline ZrSb2MoI at its relaxed geometry. Source: Alexandria via LeMat-Bulk, functional PBE-GGA.

```
ZrSb2MoI
1.0
-2.625 -3.055 3.315
4.409 -0.938 2.627
-1.004 4.391 3.252
I Sb Mo Zr
1 2 1 1
direct
0.000 0.000 0.500
0.500 0.000 0.000
0.000 0.500 0.000
0.000 0.000 0.000
0.500 0.500 0.500
```

Results
The energy relative to the lowest polymorph listed for this composition is 0 meV/atom.

---

Crystalline ScMoI3 at its relaxed geometry. Source: Alexandria via LeMat-Bulk, functional PBE-GGA.

```
ScMoI3
1.0
5.747 0.000 0.000
0.000 5.747 0.000
0.000 0.000 5.747
I Sc Mo
3 1 1
direct
0.500 0.000 0.000
0.000 0.500 0.000
0.000 0.000 0.500
0.000 0.000 0.000
0.500 0.500 0.500
```

Results
The energy relative to the lowest polymorph listed for this composition is 0 meV/atom.

---

Crystalline ScMo3I at its relaxed geometry. Source: Alexandria via LeMat-Bulk, functional PBE-GGA.

```
ScMo3I
1.0
-2.640 1.201 3.784
-3.968 -0.930 -2.473
0.115 -4.519 1.515
Sc Mo I
1 3 1
direct
0.000 0.000 0.000
0.000 0.000 0.500
0.500 0.000 0.000
0.000 0.500 0.000
0.500 0.500 0.500
```

Results
The energy relative to the lowest polymorph listed for this composition is 459 meV/atom.

---

Crystalline ScMo3I at its relaxed geometry. Source: Alexandria via LeMat-Bulk, functional PBE-GGA.

```
ScMo3I
1.0
4.872 0.000 0.000
0.000 4.872 0.000
0.000 0.000 4.872
Mo I Sc
3 1 1
direct
0.000 0.500 0.000
0.500 0.000 0.000
0.000 0.000 0.500
0.000 0.000 0.000
0.500 0.500 0.500
```

Results
The energy relative to the lowest polymorph listed for this composition is 0 meV/atom.

---

Crystalline ScTaMo2I at its relaxed geometry. Source: Alexandria via LeMat-Bulk, functional PBE-GGA.

```
ScTaMo2I
1.0
4.857 0.000 0.000
0.000 5.381 0.000
0.000 0.000 4.857
Mo Ta I Sc
2 1 1 1
direct
0.500 0.000 0.000
0.000 0.000 0.500
0.000 0.000 0.000
0.000 0.500 0.000
0.500 0.500 0.500
```

---

Crystalline ScTe2MoI at its relaxed geometry. Source: Alexandria via LeMat-Bulk, functional PBE-GGA.

```
ScTe2MoI
1.0
-0.201 -0.660 -5.355
4.837 -2.397 0.114
-2.414 -4.838 0.686
Te I Mo Sc
2 1 1 1
direct
0.000 0.500 0.000
0.500 0.000 0.000
0.000 0.000 0.500
0.000 0.000 0.000
0.500 0.500 0.500
```

Results
The energy relative to the lowest polymorph listed for this composition is 0 meV/atom.

---

Crystalline ScTeMoI2 at its relaxed geometry. Source: Alexandria via LeMat-Bulk, functional PBE-GGA.

```
ScTeMoI2
1.0
5.636 0.000 0.000
0.000 5.636 0.000
0.000 0.000 5.730
I Sc Te Mo
2 1 1 1
direct
0.500 0.000 0.000
0.000 0.500 0.000
0.000 0.000 0.000
0.000 0.000 0.500
0.500 0.500 0.500
```

Results
The energy relative to the lowest polymorph listed for this composition is 0 meV/atom.

---

Crystalline ScVMo2I at its relaxed geometry. Source: Alexandria via LeMat-Bulk, functional PBE-GGA.

```
ScVMo2I
1.0
4.795 0.000 0.000
0.000 4.632 0.000
0.000 0.000 4.795
Mo I Sc V
2 1 1 1
direct
0.500 0.000 0.000
0.000 0.000 0.500
0.500 0.500 0.500
0.000 0.000 0.000
0.000 0.500 0.000
```

---

Crystalline MoSeI2 at its relaxed geometry. Source: Alexandria via LeMat-Bulk, functional PBE-GGA.

```
MoSeI2
1.0
-6.936 -3.337 6.789
7.300 -5.367 4.820
0.648 -2.453 7.213
I Mo Se
4 2 2
direct
0.978 0.625 0.250
0.375 0.228 0.750
0.875 0.022 0.750
0.772 0.125 0.250
0.750 0.250 0.500
0.000 0.000 0.000
0.500 0.500 0.000
0.250 0.750 0.500
```

Results
The energy relative to the lowest polymorph listed for this composition is 0 meV/atom.

---

Crystalline Mo4SeI2 at its relaxed geometry. Source: Alexandria via LeMat-Bulk, functional PBE-GGA.

```
Mo4SeI2
1.0
-0.789 -0.906 -4.607
1.875 -4.343 0.533
-5.617 -5.094 -0.495
Se Mo I
1 4 2
direct
0.000 0.000 0.000
0.000 0.500 0.000
0.822 0.822 0.355
0.178 0.178 0.645
0.500 0.000 0.000
0.373 0.373 0.254
0.627 0.627 0.746
```

---

Calculated raw formation energy (eV per formula unit), listed in the same order as above: 5.12; 2.63; 4.18; 1.38; 10.69; 8.39; 7.56; 1.86; 1.55; 9.99; 0.39; 10.15